No. 1
Entry from the Alexandria database: Sc3Ga after structural relaxation (PBE-GGA).

Calculated values
Spin magnetization = 2.9 μB per cell
Mass density = 4.02 g/cm3
SG = P6_3/mmc (194)
DFT total energy = -5.840 eV per atom

a b c (Å): 6.233 6.233 5.030
angles (deg): 90.00 90.00 120.00
Atoms (fractional coordinates):
Sc1 0.171 0.343 0.250
Sc2 0.171 0.829 0.250
Sc3 0.343 0.171 0.750
Sc4 0.657 0.829 0.250
Sc5 0.829 0.171 0.750
Sc6 0.829 0.657 0.750
Ga1 0.333 0.667 0.750
Ga2 0.667 0.333 0.250

No. 2
Entry from the Alexandria database: ScGa7 after structural relaxation (PBE-GGA).

Calculated values
Spin magnetization = 0.0 μB per cell
Mass density = 6.08 g/cm3
SG = Fm-3m (225)
DFT total energy = -3.643 eV per atom

a b c (Å): 5.905 5.905 5.905
angles (deg): 60.00 60.00 60.00
Atoms (fractional coordinates):
Sc1 0.000 0.000 0.000
Ga1 0.000 0.000 0.500
Ga2 0.000 0.500 0.000
Ga3 0.000 0.500 0.500
Ga4 0.500 0.000 0.000
Ga5 0.500 0.000 0.500
Ga6 0.500 0.500 0.000
Ga7 0.500 0.500 0.500

No. 3
Entry from the Alexandria database: ScGa after structural relaxation (PBE-GGA).

Calculated values
Spin magnetization = 0.0 μB per cell
Mass density = 4.60 g/cm3
SG = Fddd (70)
DFT total energy = -5.108 eV per atom

a b c (Å): 7.012 6.431 5.611
angles (deg): 70.85 60.04 49.10
Atoms (fractional coordinates):
Sc1 0.078 0.672 0.078
Sc2 0.328 0.922 0.328
Sc3 0.672 0.078 0.672
Sc4 0.922 0.328 0.922
Ga1 0.193 0.557 0.557
Ga2 0.443 0.807 0.807
Ga3 0.557 0.193 0.193
Ga4 0.807 0.443 0.443

No. 4
Entry from the Alexandria database: ScGa after structural relaxation (PBE-GGA).

Calculated values
Spin magnetization = 0.0 μB per cell
Mass density = 5.05 g/cm3
SG = Cmmm (65)
DFT total energy = -5.273 eV per atom

a b c (Å): 4.942 4.942 3.132
angles (deg): 90.00 90.00 99.51
Atoms (fractional coordinates):
Sc1 0.228 0.772 0.000
Sc2 0.772 0.228 0.000
Ga1 0.283 0.283 0.500
Ga2 0.717 0.717 0.500

No. 5
Entry from the Alexandria database: ScGa after structural relaxation (PBE-GGA).

Calculated values
Spin magnetization = 0.6 μB per cell
Mass density = 4.38 g/cm3
SG = Fm-3m (225)
DFT total energy = -4.895 eV per atom

a b c (Å): 3.946 3.946 3.946
angles (deg): 60.00 60.00 60.00
Atoms (fractional coordinates):
Sc1 0.000 0.000 0.000
Ga1 0.500 0.500 0.500

No. 6
Entry from the Alexandria database: ScGa4 after structural relaxation (PBE-GGA).

Calculated values
Spin magnetization = 0.0 μB per cell
Mass density = 6.05 g/cm3
SG = Imma (74)
DFT total energy = -4.030 eV per atom

a b c (Å): 7.906 7.906 7.906
angles (deg): 148.87 135.51 55.29
Atoms (fractional coordinates):
Sc1 0.350 0.100 0.250
Sc2 0.650 0.900 0.750
Ga1 0.000 0.500 0.500
Ga2 0.142 0.892 0.250
Ga3 0.187 0.697 0.490
Ga4 0.293 0.303 0.990
Ga5 0.500 0.500 0.000
Ga6 0.707 0.697 0.010
Ga7 0.813 0.303 0.510
Ga8 0.858 0.108 0.750

No. 7
Entry from the Alexandria database: Sc3Ga2 after structural relaxation (PBE-GGA).

Calculated values
Spin magnetization = 0.0 μB per cell
Mass density = 4.54 g/cm3
SG = I4/mmm (139)
DFT total energy = -5.494 eV per atom

a b c (Å): 10.210 10.210 10.210
angles (deg): 162.12 162.12 25.39
Atoms (fractional coordinates):
Sc1 0.000 0.000 0.000
Sc2 0.188 0.188 0.000
Sc3 0.812 0.812 0.000
Ga1 0.405 0.405 0.000
Ga2 0.595 0.595 0.000

No. 8
Entry from the Alexandria database: ScGa after structural relaxation (PBE-GGA).

Calculated values
Spin magnetization = 0.0 μB per cell
Mass density = 4.54 g/cm3
SG = I4/m (87)
DFT total energy = -5.022 eV per atom

a b c (Å): 7.411 7.411 7.411
angles (deg): 92.68 92.68 155.05
Atoms (fractional coordinates):
Sc1 0.089 0.688 0.777
Sc2 0.312 0.089 0.401
Sc3 0.688 0.911 0.599
Sc4 0.911 0.312 0.223
Ga1 0.341 0.585 0.926
Ga2 0.415 0.341 0.756
Ga3 0.585 0.659 0.244
Ga4 0.659 0.415 0.074